<i>
# NaBi2Pt2 meta-GGA SCAN single point on PBEsol structure
# Crystal system = tetragonal
# ρ = 10.57 g/cm³
# Size of the total moment = 0.0 μB/cell
data_NaBi2Pt2
_cell_length_a 4.8158
_cell_length_b 4.8158
_cell_length_c 11.2597
_cell_angle_alpha 90.00
_cell_angle_beta 90.00
_cell_angle_gamma 90.00
_symmetry_space_group_name_H-M 'I 4/m m m'
_symmetry_Int_Tables_number 139
_symmetry_space_group_name_Hall '-I 4 2'
loop_
_atom_site_label
_atom_site_fract_x
_atom_site_fract_y
_atom_site_fract_z
Na1 0.0000 0.0000 0.0000
Bi1 0.0000 0.0000 0.3599
Pt1 0.0000 0.5000 0.2500

=====

<ii>
# NaBi2Pt2 meta-GGA SCAN single point on PBEsol structure
# Crystal system = tetragonal
# ρ = 12.64 g/cm³
# Size of the total moment = 0.0 μB/cell
data_NaBi2Pt2
_cell_length_a 7.7860
_cell_length_b 7.7860
_cell_length_c 3.6012
_cell_angle_alpha 90.00
_cell_angle_beta 90.00
_cell_angle_gamma 90.00
_symmetry_space_group_name_H-M 'P 4/m b m'
_symmetry_Int_Tables_number 127
_symmetry_space_group_name_Hall '-P 4 2ab'
loop_
_atom_site_label
_atom_site_fract_x
_atom_site_fract_y
_atom_site_fract_z
Na1 0.0000 0.0000 0.0000
Bi1 0.1656 0.3344 0.5000
Pt1 0.1299 0.6299 0.0000

=====

Q: Which of them is the least stable? A: <i>.

=====

<i>
# Na3BiSb meta-GGA SCAN single point on PBEsol structure
# Crystal system = cubic
# ρ = 3.48 g/cm³
# Size of the total moment = 2.8 μB/cell
data_Na3BiSb
_cell_length_a 5.7557
_cell_length_b 5.7557
_cell_length_c 5.7557
_cell_angle_alpha 90.00
_cell_angle_beta 90.00
_cell_angle_gamma 90.00
_symmetry_space_group_name_H-M 'P m -3 m'
_symmetry_Int_Tables_number 221
_symmetry_space_group_name_Hall '-P 4 2 3'
loop_
_atom_site_label
_atom_site_fract_x
_atom_site_fract_y
_atom_site_fract_z
Na1 0.0000 0.0000 0.5000
Bi1 0.5000 0.5000 0.5000
Sb1 0.0000 0.0000 0.0000

=====

<ii>
# Na3BiSb meta-GGA SCAN single point on PBEsol structure
# Crystal system = cubic
# ρ = 3.34 g/cm³
# Size of the total moment = 3.0 μB/cell
data_Na3BiSb
_cell_length_a 5.8329
_cell_length_b 5.8329
_cell_length_c 5.8329
_cell_angle_alpha 90.00
_cell_angle_beta 90.00
_cell_angle_gamma 90.00
_symmetry_space_group_name_H-M 'P m -3 m'
_symmetry_Int_Tables_number 221
_symmetry_space_group_name_Hall '-P 4 2 3'
loop_
_atom_site_label
_atom_site_fract_x
_atom_site_fract_y
_atom_site_fract_z
Na1 0.0000 0.0000 0.5000
Bi1 0.0000 0.0000 0.0000
Sb1 0.5000 0.5000 0.5000

=====

Q: Which of them is the least stable? A: <ii>.